(1)
The following is a DFT calculation (PBE) of a geometry-optimized TcAsPt3 structure.

## Properties
Size of the total moment ... 4.226 μB per cell
Excess energy over the best structure of this formula in the dataset ... 0.000 eV/atom

Geometry as CIF:
```
data_TcAsPt3
_cell_length_a 4.6558
_cell_length_b 4.6558
_cell_length_c 4.6558
_cell_angle_alpha 90.00
_cell_angle_beta 90.00
_cell_angle_gamma 90.00
_symmetry_space_group_name_H-M 'P m -3 m'
_symmetry_Int_Tables_number 221
_symmetry_space_group_name_Hall '-P 4 2 3'
loop_
_atom_site_label
_atom_site_type_symbol
_atom_site_fract_x
_atom_site_fract_y
_atom_site_fract_z
_atom_site_occupancy
Tc1 Tc 0.0000 0.0000 0.0000 1
As1 As 0.5000 0.5000 0.5000 1
Pt1 Pt 0.0000 0.5000 0.5000 1
```

***

(2)
The following is a DFT calculation (PBE) of a geometry-optimized Tc2AsPt structure.

## Properties
Size of the total moment ... 0.000 μB per cell

Geometry as CIF:
```
data_Tc2AsPt
_cell_length_a 3.9808
_cell_length_b 2.8408
_cell_length_c 10.8143
_cell_angle_alpha 90.00
_cell_angle_beta 90.00
_cell_angle_gamma 90.00
_symmetry_space_group_name_H-M 'A m m 2'
_symmetry_Int_Tables_number 38
loop_
_symmetry_equiv_pos_as_xyz
'x,y,z'
'-x,-y,z'
'-x,y,z'
'x,-y,z'
'x,y+1/2,z+1/2'
'-x,-y+1/2,z+1/2'
'-x,y+1/2,z+1/2'
'x,-y+1/2,z+1/2'
loop_
_atom_site_label
_atom_site_type_symbol
_atom_site_fract_x
_atom_site_fract_y
_atom_site_fract_z
_atom_site_occupancy
Tc1 Tc 0.0000 0.0000 0.0000 1
Tc2 Tc 0.5000 0.0000 0.3865 1
As1 As 0.5000 0.0000 0.6088 1
Pt1 Pt 0.0000 0.0000 0.7516 1
```

***

(3)
The following is a DFT calculation (PBE) of a geometry-optimized Tc2AsPt structure.

## Properties
Size of the total moment ... 2.219 μB per cell

Geometry as CIF:
```
data_Tc2AsPt
_cell_length_a 6.2817
_cell_length_b 6.2817
_cell_length_c 6.2817
_cell_angle_alpha 90.00
_cell_angle_beta 90.00
_cell_angle_gamma 90.00
_symmetry_space_group_name_H-M 'F -4 3 m'
_symmetry_Int_Tables_number 216
_symmetry_space_group_name_Hall 'F -4 2 3'
loop_
_atom_site_label
_atom_site_type_symbol
_atom_site_fract_x
_atom_site_fract_y
_atom_site_fract_z
_atom_site_occupancy
Tc1 Tc 0.0000 0.0000 0.0000 1
Tc2 Tc 0.2500 0.2500 0.2500 1
As1 As 0.0000 0.0000 0.5000 1
Pt1 Pt 0.2500 0.2500 0.7500 1
```

***

no.,energy of formation (eV per formula unit),DFT total energy (eV/atom)
1,4.2,-5.7905
2,-0.1,-7.8794
3,1.4,-7.4983